Below is an optimized crystal structure of Mg5Ag3Cl12, with properties calculated at the PBE-GGA level.

## Properties
Total magnetization = 0.0 μB per formula unit
Uncorrected formation energy = -1.28 eV/atom

a b c (Å): 13.7435 13.7435 13.7435
angles (deg): 109.47 109.47 109.47
With the nearest neighbours (Å) after each atom.
Positions (direct):
Ag 0.6250 0.2500 0.3750  8 Cl 3.07-3.17
Cl 0.0844 0.9062 0.3827  2 Mg 2.37-2.54
Mg 0.3750 0.2500 0.1250  4 Cl 2.37
Ag 0.3750 0.6250 0.2500  8 Cl 3.07-3.17
Cl 0.5844 0.8827 0.4062  2 Mg 2.37-2.54
Cl 0.4062 0.0235 0.3218  2 Mg 2.37-2.54
Mg 0.5000 0.5000 0.5000  6 Cl 2.54
Mg 0.5000 0.0000 0.5000  6 Cl 2.54
Cl 0.9765 0.3827 0.2983  2 Mg 2.37-2.54
Mg 0.8750 0.2500 0.6250  4 Cl 2.37
Mg 0.7500 0.1250 0.8750  4 Cl 2.37
Mg 0.7500 0.6250 0.3750  4 Cl 2.37
Mg 0.6250 0.7500 0.8750  4 Cl 2.37
Mg 0.0000 0.0000 0.5000  6 Cl 2.54
Ag 0.2500 0.6250 0.8750  8 Cl 3.07-3.17
Cl 0.8827 0.5844 0.9062  2 Mg 2.37-2.54
Cl 0.5938 0.6173 0.4156  2 Mg 2.37-2.54
Cl 0.2983 0.4156 0.8218  2 Mg 2.37-2.54
Mg 0.0000 0.0000 0.0000  6 Cl 2.54
Cl 0.2017 0.6782 0.0844  2 Mg 2.37-2.54
Cl 0.9765 0.5938 0.1782  2 Mg 2.37-2.54
Mg 0.2500 0.8750 0.1250  4 Cl 2.37
Cl 0.8827 0.2983 0.4765  2 Mg 2.37-2.54
Ag 0.3750 0.7500 0.6250  8 Cl 3.07-3.17
Cl 0.4765 0.7983 0.8827  2 Mg 2.37-2.54
Cl 0.1782 0.0844 0.7017  2 Mg 2.37-2.54
Ag 0.1250 0.8750 0.7500  8 Cl 3.07-3.17
Mg 0.8750 0.6250 0.7500  4 Cl 2.37
Cl 0.0938 0.1782 0.4765  2 Mg 2.37-2.54
Cl 0.2017 0.5235 0.6173  2 Mg 2.37-2.54
Cl 0.9156 0.8218 0.7983  2 Mg 2.37-2.54
Cl 0.1173 0.7017 0.5235  2 Mg 2.37-2.54
Ag 0.7500 0.3750 0.1250  8 Cl 3.07-3.17
Mg 0.0000 0.5000 0.0000  6 Cl 2.54
Cl 0.7983 0.3218 0.9156  2 Mg 2.37-2.54
Mg 0.6250 0.8750 0.2500  4 Cl 2.37
Cl 0.0938 0.9156 0.1173  2 Mg 2.37-2.54
Cl 0.5235 0.3218 0.9062  2 Mg 2.37-2.54
Ag 0.8750 0.1250 0.2500  8 Cl 3.07-3.17
Cl 0.5844 0.7017 0.6782  2 Mg 2.37-2.54
Cl 0.2983 0.8827 0.9765  2 Mg 2.37-2.54
Cl 0.1173 0.4156 0.0938  2 Mg 2.37-2.54
Mg 0.2500 0.3750 0.6250  4 Cl 2.37
Cl 0.3827 0.9765 0.7983  2 Mg 2.37-2.54
Mg 0.5000 0.5000 0.0000  6 Cl 2.54
Ag 0.6250 0.3750 0.7500  8 Cl 3.07-3.17
Cl 0.0235 0.6173 0.7017  2 Mg 2.37-2.54
Cl 0.7017 0.5844 0.1782  2 Mg 2.37-2.54
Cl 0.3827 0.4062 0.0844  2 Mg 2.37-2.54
Cl 0.9062 0.8218 0.5235  2 Mg 2.37-2.54
Cl 0.7017 0.1173 0.0235  2 Mg 2.37-2.54
Cl 0.4765 0.6782 0.0938  2 Mg 2.37-2.54
Mg 0.1250 0.3750 0.2500  4 Cl 2.37
Cl 0.9156 0.0938 0.6173  2 Mg 2.37-2.54
Cl 0.3218 0.7983 0.4156  2 Mg 2.37-2.54
Cl 0.5938 0.9765 0.6782  2 Mg 2.37-2.54
Cl 0.8218 0.9062 0.0235  2 Mg 2.37-2.54
Mg 0.3750 0.1250 0.7500  4 Cl 2.37
Cl 0.6782 0.4765 0.5938  2 Mg 2.37-2.54
Cl 0.4156 0.1173 0.5938  2 Mg 2.37-2.54
Cl 0.6173 0.0235 0.2017  2 Mg 2.37-2.54
Mg 0.0000 0.5000 0.5000  6 Cl 2.54
Mg 0.1250 0.7500 0.3750  4 Cl 2.37
Cl 0.5235 0.2017 0.1173  2 Mg 2.37-2.54
Cl 0.3218 0.5235 0.4062  2 Mg 2.37-2.54
Cl 0.0844 0.1782 0.2017  2 Mg 2.37-2.54
Mg 0.5000 0.0000 0.0000  6 Cl 2.54
Cl 0.4062 0.3827 0.5844  2 Mg 2.37-2.54
Ag 0.7500 0.8750 0.6250  8 Cl 3.07-3.17
Cl 0.1782 0.0938 0.9765  2 Mg 2.37-2.54
Ag 0.2500 0.1250 0.3750  8 Cl 3.07-3.17
Ag 0.1250 0.2500 0.8750  8 Cl 3.07-3.17
Cl 0.6173 0.5938 0.9156  2 Mg 2.37-2.54
Ag 0.8750 0.7500 0.1250  8 Cl 3.07-3.17
Cl 0.7983 0.4765 0.3827  2 Mg 2.37-2.54
Cl 0.6782 0.2017 0.5844  2 Mg 2.37-2.54
Cl 0.9062 0.0844 0.8827  2 Mg 2.37-2.54
Cl 0.8218 0.9156 0.2983  2 Mg 2.37-2.54
Cl 0.4156 0.2983 0.3218  2 Mg 2.37-2.54
Cl 0.0235 0.4062 0.8218  2 Mg 2.37-2.54

Below is an optimized crystal structure of ZrMn6Cr2, with properties calculated at the PBE-GGA level.

## Properties
Formation energy = 0.319 eV per atom
Total magnetization = 0.0 μB per formula unit

a b c (Å): 2.7544 7.2240 7.2240
angles (deg): 53.67 79.01 79.01
With the nearest neighbours (Å) after each atom.
Positions (direct):
Mn 0.3158 0.3576 0.0108  3 Mn 2.26-2.37, 1 Cr 2.44
Mn 0.6842 0.9892 0.6424  3 Mn 2.26-2.37, 1 Cr 2.44
Cr 0.1438 0.3562 0.3562  10 Mn 2.44-2.59
Mn 0.6842 0.6424 0.9892  3 Mn 2.26-2.37, 1 Cr 2.44
Mn 0.3158 0.0108 0.3576  3 Mn 2.26-2.37, 1 Cr 2.44
Mn 0.5000 0.3427 0.6573  1 Mn 2.05
Mn 0.5000 0.6573 0.3427  1 Mn 2.05
Cr 0.8562 0.6438 0.6438  10 Mn 2.44-2.59
Zr 0.0000 0.0000 0.0000  12 Mn 2.63-2.93, 2 Zr 2.75

Below is an optimized crystal structure of BaMn2CrCu, with properties calculated at the PBE-GGA level.

## Properties
Formation energy = 0.651 eV per atom
Total magnetization = 4.5 μB per formula unit

a b c (Å): 4.6877 5.0530 4.6877
angles (deg): 90.00 90.00 90.00
With the nearest neighbours (Å) after each atom.
Positions (direct):
Mn 0.5000 0.0000 0.0000  2 Cr 2.34
Cr 0.0000 0.0000 0.0000  4 Mn 2.34, 2 Cu 2.53
Cu 0.0000 0.5000 0.0000  2 Cr 2.53
Ba 0.5000 0.5000 0.5000  4 Cu 3.31, 8 Mn 3.45
Mn 0.0000 0.0000 0.5000  2 Cr 2.34

Below is an optimized crystal structure of InRhPb4, with properties calculated at the PBE-GGA level.

## Properties
Formation energy = 0.538 eV per atom
Total magnetization = 0.1 μB per formula unit

a b c (Å): 6.3135 6.3135 6.3135
angles (deg): 60.00 60.00 60.00
With the nearest neighbours (Å) after each atom.
Positions (direct):
Pb 0.3757 0.3757 0.3757  6 Pb 3.14-3.17
Rh 0.7500 0.7500 0.7500  12 Pb 3.70, 4 In 3.87
Pb 0.3757 0.8729 0.3757  6 Pb 3.14-3.17
Pb 0.8729 0.3757 0.3757  6 Pb 3.14-3.17
Pb 0.3757 0.3757 0.8729  6 Pb 3.14-3.17
In 0.0000 0.0000 0.0000  12 Pb 3.70, 4 Rh 3.87

Below is an optimized crystal structure of TaNiSb2, with properties calculated at the PBE-GGA level.

## Properties
Total magnetization = 0.0 μB per formula unit
Uncorrected formation energy = 0.60 eV/atom

a b c (Å): 6.3080 6.3080 6.9637
angles (deg): 63.07 63.07 90.00
With the nearest neighbours (Å) after each atom.
Positions (direct):
Ta 0.0000 0.0000 0.0000  4 Sb 2.72
Ni 0.5000 0.5000 0.0000  4 Sb 2.49
Sb 0.3750 0.4060 0.7500  2 Ni 2.49, 2 Ta 2.72
Sb 0.1560 0.6250 0.2500  2 Ni 2.49, 2 Ta 2.72
Sb 0.8750 0.8440 0.7500  2 Ni 2.49, 2 Ta 2.72
Sb 0.5940 0.1250 0.2500  2 Ni 2.49, 2 Ta 2.72
Ta 0.7500 0.2500 0.5000  4 Sb 2.72
Ni 0.2500 0.7500 0.5000  4 Sb 2.49

Below is an optimized crystal structure of Tl3Ag2AuBr9, with properties calculated at the PBE-GGA level.

## Properties
Total magnetization = 0.0 μB per formula unit
Uncorrected formation energy = -0.45 eV/atom

a b c (Å): 7.6334 7.6334 9.3577
angles (deg): 90.00 90.00 120.00
With the nearest neighbours (Å) after each atom.
Positions (direct):
Tl 0.0000 0.0000 0.0000  12 Br 3.80-3.82
Br 0.3262 0.1631 0.6659  1 Au 2.66, 1 Ag 2.72
Ag 0.6667 0.3333 0.8288  6 Br 2.72
Br 0.8369 0.6738 0.6659  1 Au 2.66, 1 Ag 2.72
Br 0.5000 0.0000 0.0000  2 Ag 2.72
Ag 0.3333 0.6667 0.1712  6 Br 2.72
Tl 0.3333 0.6667 0.7103  9 Br 3.49-3.84
Br 0.8369 0.1631 0.6659  1 Au 2.66, 1 Ag 2.72
Tl 0.6667 0.3333 0.2897  9 Br 3.49-3.84
Au 0.0000 0.0000 0.5000  6 Br 2.66
Br 0.1631 0.3262 0.3341  1 Au 2.66, 1 Ag 2.72
Br 0.0000 0.5000 0.0000  2 Ag 2.72
Br 0.5000 0.5000 0.0000  2 Ag 2.72
Br 0.6738 0.8369 0.3341  1 Au 2.66, 1 Ag 2.72
Br 0.1631 0.8369 0.3341  1 Au 2.66, 1 Ag 2.72

Below is an optimized crystal structure of NbCoPd, with properties calculated at the PBE-GGA level.

## Properties
Formation energy = -0.259 eV per atom
Total magnetization = 0.0 μB per formula unit

a b c (Å): 4.2654 3.0543 6.8798
angles (deg): 102.82 90.00 90.00
With the nearest neighbours (Å) after each atom.
Positions (direct):
Nb 0.7500 0.9066 0.8132  6 Co 2.53-2.67, 2 Pd 2.77
Co 0.2500 0.4431 0.8861  6 Nb 2.53-2.67, 2 Co 2.62, 2 Pd 2.73
Pd 0.7500 0.2252 0.4503  4 Pd 2.71, 2 Co 2.73, 4 Nb 2.77-2.87
Co 0.7500 0.5569 0.1139  6 Nb 2.53-2.67, 2 Co 2.62, 2 Pd 2.73
Nb 0.2500 0.0934 0.1868  6 Co 2.53-2.67, 2 Pd 2.77
Pd 0.2500 0.7748 0.5497  4 Pd 2.71, 2 Co 2.73, 4 Nb 2.77-2.87

Below is an optimized crystal structure of TaCoPS2, with properties calculated at the PBE-GGA level.

## Properties
Total magnetization = 0.0 μB per formula unit
Uncorrected formation energy = 0.54 eV/atom

a b c (Å): 4.3127 4.3127 4.3014
angles (deg): 90.00 90.00 90.00
With the nearest neighbours (Å) after each atom.
Positions (direct):
P 0.0000 0.0000 0.5000  2 Co 2.15
Ta 0.5000 0.5000 0.5000  8 S 3.05, 4 P 3.05
S 0.5000 0.0000 0.0000  2 Co 2.16
S 0.0000 0.5000 0.0000  2 Co 2.16
Co 0.0000 0.0000 0.0000  2 P 2.15, 4 S 2.16